[1]
The following is a PBE calculation of a relaxed structure of ErTmAu4, from Alexandria via LeMat-Bulk.

Unit cell a=5.2424 b=5.2188 c=5.2183 alpha=60.45 beta=89.99 gamma=90.02
Atoms (fractional coordinates):
Au: 0.0013 0.6618 0.1626
Au: 0.5013 0.1614 0.6620
Au: 0.5013 0.8333 0.3341
Au: 0.0014 0.3327 0.8337
Tm: 0.0013 0.9973 0.4982
Er: 0.5013 0.4973 0.9981

## Properties
Total moment, μB/f.u.: 0.00
Final energy, eV per atom: -4.572
Space group: Cmmm (65)

[2]
The following is a PBE calculation of a relaxed structure of KFe2Ni, from Alexandria via LeMat-Bulk.

Unit cell a=4.8852 b=4.8852 c=8.7176 alpha=73.73 beta=73.73 gamma=90.00
Atoms (fractional coordinates):
Ni: 0.0000 0.0000 0.0000
Ni: 0.7500 0.2500 0.5000
K: 0.5000 0.5000 0.0000
K: 0.2500 0.7500 0.5000
Fe: 0.3750 0.1251 0.7500
Fe: 0.8750 0.1249 0.7500
Fe: 0.8751 0.6250 0.2500
Fe: 0.8749 0.1250 0.2500

## Properties
Total moment, μB/f.u.: 6.64
Final energy, eV per atom: -4.952
Space group: I4_1/amd (141)

[3]
The following is a PBE calculation of a relaxed structure of Dy12Pt3C5, from Alexandria via LeMat-Bulk.

Unit cell a=13.3931 b=13.3931 c=13.3931 alpha=109.47 beta=109.47 gamma=109.47
Atoms (fractional coordinates):
Dy: 0.0257 0.4050 0.8197
Dy: 0.9050 0.0853 0.8793
Dy: 0.4743 0.6803 0.0950
Dy: 0.0950 0.9147 0.1207
Dy: 0.6803 0.4743 0.5950
Dy: 0.6207 0.5950 0.9147
Dy: 0.2940 0.4147 0.8197
Dy: 0.5853 0.8793 0.4050
Dy: 0.5257 0.3197 0.9050
Dy: 0.7940 0.3197 0.9147
Dy: 0.0853 0.1803 0.2060
Dy: 0.8793 0.5853 0.9050
Dy: 0.8197 0.9050 0.0257
Dy: 0.1803 0.0853 0.7060
Dy: 0.2060 0.5257 0.6207
Dy: 0.1207 0.7060 0.5257
Dy: 0.3793 0.9743 0.7940
Dy: 0.3197 0.5257 0.4050
Dy: 0.0950 0.1803 0.4743
Dy: 0.4743 0.7940 0.8793
Dy: 0.6207 0.0257 0.2060
Dy: 0.7940 0.4743 0.3793
Dy: 0.7060 0.1207 0.0257
Dy: 0.0257 0.6207 0.7060
Dy: 0.9147 0.8197 0.7940
Dy: 0.7060 0.5853 0.1803
Dy: 0.5853 0.7060 0.6803
Dy: 0.4147 0.2940 0.3197
Dy: 0.0853 0.9050 0.3793
Dy: 0.3793 0.4050 0.0853
Dy: 0.4147 0.1207 0.5950
Dy: 0.9050 0.8197 0.5257
Dy: 0.1207 0.4147 0.0950
Dy: 0.5950 0.6207 0.4147
Dy: 0.2060 0.6803 0.0853
Dy: 0.6803 0.2060 0.5853
Dy: 0.2940 0.8793 0.9743
Dy: 0.4050 0.0257 0.3197
Dy: 0.5257 0.2060 0.1207
Dy: 0.9743 0.3793 0.2940
Dy: 0.5950 0.9743 0.6803
Dy: 0.3197 0.7940 0.4147
Dy: 0.9743 0.5950 0.1803
Dy: 0.4050 0.3793 0.5853
Dy: 0.1803 0.0950 0.9743
Dy: 0.8197 0.9147 0.2940
Dy: 0.8793 0.2940 0.4743
Dy: 0.9147 0.0950 0.6207
C: 0.0000 0.5000 0.0000
C: 0.0000 0.0000 0.0000
C: 0.5000 0.5000 0.5000
C: 0.6250 0.7500 0.8750
C: 0.1250 0.7500 0.3750
C: 0.5000 0.0000 0.5000
C: 0.2500 0.3750 0.6250
C: 0.5000 0.5000 0.0000
C: 0.3750 0.2500 0.1250
C: 0.8750 0.2500 0.6250
C: 0.6250 0.8750 0.2500
C: 0.0000 0.5000 0.5000
C: 0.7500 0.1250 0.8750
C: 0.3750 0.1250 0.7500
C: 0.5000 0.0000 0.0000
C: 0.1250 0.3750 0.2500
C: 0.2500 0.8750 0.1250
C: 0.7500 0.6250 0.3750
C: 0.8750 0.6250 0.7500
C: 0.0000 0.0000 0.5000
Pt: 0.8750 0.7500 0.1250
Pt: 0.2500 0.1250 0.3750
Pt: 0.7500 0.3750 0.1250
Pt: 0.1250 0.8750 0.7500
Pt: 0.2500 0.6250 0.8750
Pt: 0.6250 0.3750 0.7500
Pt: 0.3750 0.7500 0.6250
Pt: 0.8750 0.1250 0.2500
Pt: 0.6250 0.2500 0.3750
Pt: 0.7500 0.8750 0.6250
Pt: 0.3750 0.6250 0.2500
Pt: 0.1250 0.2500 0.8750

## Properties
Total moment, μB/f.u.: 0.00
Final energy, eV per atom: -6.390
Space group: Ia-3d (230)

[4]
The following is a PBE calculation of a relaxed structure of PmMnSb, from Alexandria via LeMat-Bulk.

Unit cell a=7.8558 b=7.8558 c=6.8275 alpha=107.86 beta=107.86 gamma=117.84
Atoms (fractional coordinates):
Mn: 0.1236 0.1236 0.2472
Mn: 0.8764 0.8764 0.7528
Mn: 0.1264 0.6264 0.2528
Mn: 0.3736 0.8736 0.7472
Pm: 0.6250 0.8750 0.2500
Pm: 0.6250 0.3750 0.2500
Pm: 0.1250 0.3750 0.7500
Pm: 0.6250 0.3750 0.7500
Sb: 0.0773 0.9227 0.5000
Sb: 0.8273 0.1727 0.0000
Sb: 0.4227 0.5773 0.5000
Sb: 0.1727 0.8273 0.0000

## Properties
Total moment, μB/f.u.: 3.17
Final energy, eV per atom: -6.261
Space group: Fddd (70)
Formation energy from raw total energies, kJ/mol of formula units: -72

[5]
The following is a PBE calculation of a relaxed structure of Ac2Zn3SnHg4, from Alexandria via LeMat-Bulk.

Unit cell a=4.6758 b=4.6758 c=11.5034 alpha=90.00 beta=90.00 gamma=90.00
Atoms (fractional coordinates):
Hg: 0.0000 0.5000 0.3530
Hg: 0.5000 0.5000 0.0000
Hg: 0.0000 0.0000 0.0000
Hg: 0.5000 0.0000 0.6470
Ac: 0.5000 0.0000 0.2407
Ac: 0.0000 0.5000 0.7593
Zn: 0.5000 0.0000 0.8740
Zn: 0.0000 0.0000 0.5000
Zn: 0.0000 0.5000 0.1260
Sn: 0.5000 0.5000 0.5000

## Properties
Total moment, μB/f.u.: 0.00
Final energy, eV per atom: -2.048
Space group: P-4m2 (115)

[6]
The following is a PBE calculation of a relaxed structure of TcTe2N2, from Alexandria via LeMat-Bulk.

Unit cell a=3.9862 b=3.9862 c=6.6226 alpha=90.00 beta=90.00 gamma=90.00
Atoms (fractional coordinates):
Tc: 0.5000 0.5000 0.5000
N: 0.5000 0.0000 0.0000
N: 0.0000 0.5000 0.0000
Te: 0.0000 0.0000 0.0000
Te: 0.0000 0.0000 0.5000

## Properties
Total moment, μB/f.u.: 3.83
Final energy, eV per atom: -4.896
Space group: P4/mmm (123)
Formation energy from raw total energies, kJ/mol of formula units: 851

[7]
The following is a PBE calculation of a relaxed structure of YNi3Br, from Alexandria via LeMat-Bulk.

Unit cell a=4.4875 b=4.4875 c=4.4875 alpha=90.00 beta=90.00 gamma=90.00
Atoms (fractional coordinates):
Ni: 0.0000 0.0000 0.5000
Ni: 0.0000 0.5000 0.0000
Ni: 0.5000 0.0000 0.0000
Br: 0.0000 0.0000 0.0000
Y: 0.5000 0.5000 0.5000

## Properties
Total moment, μB/f.u.: 0.00
Final energy, eV per atom: -4.696
Space group: Pm-3m (221)
Formation energy from raw total energies, kJ/mol of formula units: 193

[8]
The following is a PBE calculation of a relaxed structure of LiCdPb2, from Alexandria via LeMat-Bulk.

Unit cell a=4.9344 b=4.9344 c=5.8870 alpha=65.22 beta=65.22 gamma=60.00
Atoms (fractional coordinates):
Cd: 0.4922 0.4922 0.5235
Pb: 0.2680 0.2680 0.1959
Pb: 0.0519 0.0519 0.8444
Li: 0.6879 0.6879 0.9362

## Properties
Total moment, μB/f.u.: 0.00
Final energy, eV per atom: -2.602
Space group: R3m (160)

[9]
The following is a PBE calculation of a relaxed structure of PrHo6Tl2, from Alexandria via LeMat-Bulk.

Unit cell a=3.7485 b=6.6346 c=11.9455 alpha=74.83 beta=80.97 gamma=73.59
Atoms (fractional coordinates):
Ho: 0.6904 0.2008 0.4184
Ho: 0.9892 0.6725 0.3492
Ho: 0.3118 0.5032 0.8732
Ho: 0.3096 0.7992 0.5816
Ho: 0.6882 0.4968 0.1268
Ho: 0.0108 0.3275 0.6508
Tl: 0.6419 0.9353 0.7808
Tl: 0.3581 0.0647 0.2192
Pr: 0.0000 0.0000 0.0000

## Properties
Total moment, μB/f.u.: 0.00
Final energy, eV per atom: -4.248
Space group: C2/m (12)

[10]
The following is a PBE calculation of a relaxed structure of ErThBi, from Alexandria via LeMat-Bulk.

Unit cell a=4.5491 b=4.5491 c=8.9170 alpha=90.00 beta=90.00 gamma=90.00
Atoms (fractional coordinates):
Bi: 0.5000 0.0000 0.7647
Bi: 0.0000 0.5000 0.2353
Er: 0.0000 0.0000 0.5000
Er: 0.5000 0.5000 0.5000
Th: 0.5000 0.0000 0.1416
Th: 0.0000 0.5000 0.8584

## Properties
Total moment, μB/f.u.: 0.00
Final energy, eV per atom: -5.716
Space group: P4/nmm (129)

[11]
The following is a PBE calculation of a relaxed structure of CuPd14Pb, from Alexandria via LeMat-Bulk.

Unit cell a=5.6600 b=5.6600 c=7.8749 alpha=90.00 beta=90.00 gamma=90.01
Atoms (fractional coordinates):
Pd: 0.6206 0.6206 0.2497
Pd: 0.8750 0.3750 0.5000
Pd: 0.3750 0.8750 0.5000
Pd: 0.1294 0.6206 0.2497
Pd: 0.6206 0.1294 0.2497
Pd: 0.6206 0.1294 0.7503
Pd: 0.3750 0.3750 0.0000
Pd: 0.1294 0.6206 0.7503
Pd: 0.1294 0.1294 0.2497
Pd: 0.1294 0.1294 0.7503
Pd: 0.3750 0.8750 0.0000
Pd: 0.8750 0.3750 0.0000
Pd: 0.6206 0.6206 0.7503
Pd: 0.8750 0.8750 0.0000
Cu: 0.3750 0.3750 0.5000
Pb: 0.8750 0.8750 0.5000

## Properties
Total moment, μB/f.u.: 0.01
Final energy, eV per atom: -5.091
Space group: P4/mmm (123)

[12]
The following is a PBE calculation of a relaxed structure of RbSnB, from Alexandria via LeMat-Bulk.

Unit cell a=4.7888 b=4.7888 c=8.5123 alpha=90.00 beta=90.00 gamma=120.00
Atoms (fractional coordinates):
B: 0.3333 0.6667 0.1035
B: 0.3333 0.6667 0.8965
Rb: 0.6667 0.3333 0.5000
Rb: 0.6667 0.3333 0.0000
Sn: 0.0000 0.0000 0.8036
Sn: 0.0000 0.0000 0.1964

## Properties
Total moment, μB/f.u.: 0.00
Final energy, eV per atom: -3.048
Space group: P-6m2 (187)

[13]
The following is a PBE calculation of a relaxed structure of VC8N6, from Alexandria via LeMat-Bulk.

Unit cell a=7.4648 b=7.4648 c=5.7434 alpha=87.62 beta=87.62 gamma=60.14
Atoms (fractional coordinates):
C: 0.2216 0.2216 0.2225
C: 0.7783 0.4547 0.7749
C: 0.2217 0.5453 0.2251
C: 0.6709 0.6709 0.7533
C: 0.3291 0.3291 0.2467
C: 0.7784 0.7784 0.7775
C: 0.5453 0.2217 0.2251
C: 0.4547 0.7783 0.7749
V: 0.0000 0.0000 0.0000
N: 0.1323 0.7252 0.1938
N: 0.8677 0.2748 0.8062
N: 0.7252 0.1323 0.1938
N: 0.1326 0.1326 0.1892
N: 0.2748 0.8677 0.8062
N: 0.8674 0.8674 0.8108

## Properties
Total moment, μB/f.u.: 2.99
Final energy, eV per atom: -8.571
Space group: C2/m (12)
Formation energy from raw total energies, kJ/mol of formula units: 415

[14]
The following is a PBE calculation of a relaxed structure of Rb2ZnGeAu6, from Alexandria via LeMat-Bulk.

Unit cell a=7.0157 b=7.2529 c=6.9968 alpha=61.34 beta=59.86 gamma=89.99
Atoms (fractional coordinates):
Au: 0.7497 0.6502 0.0976
Au: 0.8470 0.3494 0.9027
Au: 0.7483 0.6504 0.5024
Au: 0.1530 0.6506 0.0973
Au: 0.2503 0.3497 0.9024
Au: 0.2517 0.3496 0.4976
Rb: 0.2930 0.8793 0.4128
Rb: 0.7070 0.1207 0.5872
Zn: 0.0000 0.0000 0.0000
Ge: 0.5000 0.5000 0.0000

## Properties
Total moment, μB/f.u.: 0.00
Final energy, eV per atom: -2.969
Space group: C2/m (12)

[15]
The following is a PBE calculation of a relaxed structure of PPtF2, from Alexandria via LeMat-Bulk.

Unit cell a=4.1657 b=4.1657 c=4.1657 alpha=60.00 beta=60.00 gamma=60.00
Atoms (fractional coordinates):
F: 0.2500 0.2500 0.2500
F: 0.7500 0.7500 0.7500
P: 0.0000 0.0000 0.0000
Pt: 0.5000 0.5000 0.5000

## Properties
Total moment, μB/f.u.: 0.00
Final energy, eV per atom: -3.657
Space group: Fm-3m (225)
Formation energy from raw total energies, kJ/mol of formula units: 55

[16]
The following is a PBE calculation of a relaxed structure of La2IrCSe, from Alexandria via LeMat-Bulk.

Unit cell a=5.3693 b=5.3693 c=3.8755 alpha=90.00 beta=90.00 gamma=90.00
Atoms (fractional coordinates):
La: 0.0000 0.5000 0.0000
La: 0.5000 0.0000 0.0000
Ir: 0.0000 0.0000 0.5000
C: 0.0000 0.0000 0.0000
Se: 0.5000 0.5000 0.5000

## Properties
Total moment, μB/f.u.: 0.00
Final energy, eV per atom: -7.242
Space group: P4/mmm (123)
Formation energy from raw total energies, kJ/mol of formula units: -462

[17]
The following is a PBE calculation of a relaxed structure of Pm3Pr6Ho2In, from Alexandria via LeMat-Bulk.

Unit cell a=6.3070 b=6.3070 c=11.9330 alpha=95.18 beta=95.18 gamma=120.28
Atoms (fractional coordinates):
Ho: 0.3342 0.6658 0.0000
Ho: 0.6658 0.3342 0.0000
Pr: 0.2457 0.2457 0.7544
Pr: 0.5939 0.9204 0.7569
Pr: 0.7543 0.7543 0.2456
Pr: 0.4061 0.0796 0.2431
Pr: 0.9204 0.5939 0.7569
Pr: 0.0796 0.4061 0.2431
Pm: 0.8308 0.1692 0.5000
Pm: 0.5000 0.5000 0.5000
Pm: 0.1692 0.8308 0.5000
In: 0.0000 0.0000 0.0000

## Properties
Total moment, μB/f.u.: 0.00
Final energy, eV per atom: -4.598
Space group: C2/m (12)

[18]
The following is a PBE calculation of a relaxed structure of BeTlHg2Pb, from Alexandria via LeMat-Bulk.

Unit cell a=5.6409 b=6.1963 c=5.6409 alpha=90.00 beta=90.00 gamma=90.00
Atoms (fractional coordinates):
Tl: 0.0000 0.0000 0.0000
Hg: 0.5000 0.0000 0.0000
Hg: 0.0000 0.0000 0.5000
Be: 0.5000 0.5000 0.5000
Pb: 0.0000 0.5000 0.0000

## Properties
Total moment, μB/f.u.: 0.00
Final energy, eV per atom: -1.119
Space group: P4/mmm (123)

[19]
The following is a PBE calculation of a relaxed structure of BaSi2Os, from Alexandria via LeMat-Bulk.

Unit cell a=5.1530 b=5.1530 c=2.9533 alpha=90.00 beta=90.00 gamma=90.00
Atoms (fractional coordinates):
Si: 0.5000 0.5000 0.0000
Si: 0.0000 0.0000 0.0000
Ba: 0.5000 0.0000 0.5000
Os: 0.0000 0.5000 0.5000

## Properties
Total moment, μB/f.u.: 0.76
Final energy, eV per atom: -4.965
Space group: P4/mmm (123)
Formation energy from raw total energies, kJ/mol of formula units: 399

[20]
The following is a PBE calculation of a relaxed structure of NdNiAs2Ru, from Alexandria via LeMat-Bulk.

Unit cell a=3.9584 b=3.9584 c=6.4283 alpha=107.93 beta=107.93 gamma=90.00
Atoms (fractional coordinates):
Ni: 0.7500 0.2500 0.5000
Nd: 0.0000 0.0000 0.0000
As: 0.6287 0.6287 0.2573
As: 0.3713 0.3713 0.7427
Ru: 0.2500 0.7500 0.5000

## Properties
Total moment, μB/f.u.: 0.00
Final energy, eV per atom: -6.515
Space group: I-4m2 (119)